(1)
Computed, not measured: a geometry-optimized Mg2BeP structure at the PBE-GGA level of DFT.

density of states at the Fermi level = 0.78 states/eV per cell
total magnetization = 0.00 μB/f.u.
energy relative to the elements = -24 kJ per mole of atoms
offset from the most stable computed form = 0 meV/atom
SG = Pm, No. 6

Cell lengths 3.5384, 3.8252, 5.1655 Å; angles 68.30, 90.00, 90.00 degrees
With the nearest neighbours (Å) after each atom.
Fractional positions:
Mg  0.0000  0.9755  0.9256  4 Be 2.72-2.73, 3 P 2.74-2.81
Mg  0.5000  0.2775  0.3193  3 Be 2.70-2.85, 4 P 2.74
P  0.0000  0.6894  0.4975  2 Be 2.17
Be  0.5000  0.5576  0.7576  2 P 2.17

=====

(2)
Computed, not measured: a geometry-optimized MgBeP2 structure at the PBE-GGA level of DFT.

density of states at the Fermi level = 0.81 states/eV per cell
total magnetization = 0.00 μB/f.u.
energy relative to the elements = 12 kJ per mole of atoms
offset from the most stable computed form = 320 meV/atom
SG = P4/mmm, No. 123

Cell lengths 3.3199, 3.3199, 5.2869 Å; angles 90.00, 90.00, 90.00 degrees
With the nearest neighbours (Å) after each atom.
Fractional positions:
Be  0.5000  0.5000  0.2500  8 P 2.59, 2 Mg 2.64
Mg  0.5000  0.5000  0.7500  2 Be 2.64, 8 P 2.82
P  0.0000  0.0000  0.4556  1 P 2.17
P  0.0000  0.0000  0.0444  1 P 2.17

=====

(3)
Computed, not measured: a geometry-optimized MgBeP3 structure at the PBE-GGA level of DFT.

density of states at the Fermi level = 2.81 states/eV per cell
total magnetization = 0.00 μB/f.u.
energy relative to the elements = 44 kJ per mole of atoms
offset from the most stable computed form = 0 meV/atom
SG = Pm-3m, No. 221

Cell lengths 4.3365, 4.3365, 4.3365 Å; angles 90.00, 90.00, 90.00 degrees
With the nearest neighbours (Å) after each atom.
Fractional positions:
Be  0.0000  0.0000  0.0000  6 P 2.17
P  0.5000  0.0000  0.0000  2 Be 2.17
P  0.0000  0.0000  0.5000  2 Be 2.17
P  0.0000  0.5000  0.0000  2 Be 2.17
Mg  0.5000  0.5000  0.5000  12 P 3.07

=====

(4)
Computed, not measured: a geometry-optimized Mg2BeP structure at the PBE-GGA level of DFT.

density of states at the Fermi level = 0.62 states/eV per cell
total magnetization = 0.00 μB/f.u.
energy relative to the elements = -19 kJ per mole of atoms
offset from the most stable computed form = 51 meV/atom
SG = P1, No. 1

Cell lengths 4.2487, 4.2679, 9.0386 Å; angles 82.39, 81.57, 61.44 degrees
With the nearest neighbours (Å) after each atom.
Fractional positions:
Mg  0.3044  0.0734  0.3630  1 Be 2.48, 2 P 2.75-2.77
Mg  0.6096  0.4070  0.5544  6 Be 2.53-2.61
Mg  0.0320  0.7810  0.1233  4 P 2.53-2.64
Mg  0.7537  0.4567  0.8887  3 P 2.51-2.52, 1 Be 2.72
P  0.6756  0.4268  0.2223  6 Mg 2.61-2.81
P  0.1029  0.8029  0.8400  2 Be 2.16-2.26
Be  0.9382  0.7396  0.6240  1 P 2.26, 1 Be 2.36, 1 Mg 2.53
Be  0.2566  0.0574  0.6408  1 P 2.16, 1 Be 2.36

=====

(5)
Computed, not measured: a geometry-optimized MgBeP2 structure at the PBE-GGA level of DFT.

density of states at the Fermi level = 0.38 states/eV per cell
total magnetization = 0.00 μB/f.u.
energy relative to the elements = -6 kJ per mole of atoms
offset from the most stable computed form = 141 meV/atom
SG = Cm, No. 8

Cell lengths 6.1309, 6.1309, 3.9627 Å; angles 59.37, 59.37, 33.04 degrees
With the nearest neighbours (Å) after each atom.
Fractional positions:
Be  0.5596  0.5596  0.5665  4 P 2.11-2.17
P  0.9624  0.9624  0.8952  2 Be 2.11
P  0.1897  0.1897  0.3539  2 Be 2.17, 1 P 2.38
Mg  0.7883  0.7883  0.6843  6 P 2.59-2.86

=====

(6)
Computed, not measured: a geometry-optimized MgBeP2 structure at the PBE-GGA level of DFT.

density of states at the Fermi level = 0.86 states/eV per cell
total magnetization = 0.00 μB/f.u.
energy relative to the elements = -6 kJ per mole of atoms
offset from the most stable computed form = 134 meV/atom
SG = C2/m, No. 12

Cell lengths 3.7329, 3.7329, 5.6580 Å; angles 76.42, 76.42, 52.64 degrees
With the nearest neighbours (Å) after each atom.
Fractional positions:
Be  0.2500  0.2500  0.2500  6 P 2.22-2.39
P  0.9977  0.9977  0.0623  3 Be 2.22-2.39
P  0.5023  0.5023  0.4377  3 Be 2.22-2.39
Mg  0.7500  0.7500  0.7500  6 P 2.67-2.72

=====

(7)
Computed, not measured: a geometry-optimized MgBeP2 structure at the PBE-GGA level of DFT.

density of states at the Fermi level = 2.41 states/eV per cell
total magnetization = 0.00 μB/f.u.
energy relative to the elements = 18 kJ per mole of atoms
offset from the most stable computed form = 384 meV/atom
SG = Cmmm, No. 65

Cell lengths 3.0510, 3.0510, 6.8311 Å; angles 90.00, 90.00, 109.48 degrees
With the nearest neighbours (Å) after each atom.
Fractional positions:
P  0.0000  0.0000  0.4597  2 Be 2.27
P  0.0000  0.0000  0.0403  2 Be 2.27
Mg  0.5000  0.5000  0.7500  4 P 2.65
Be  0.5000  0.5000  0.2500  4 P 2.27

=====

(8)
Computed, not measured: a geometry-optimized Mg2BeP structure at the PBE-GGA level of DFT.

density of states at the Fermi level = 2.77 states/eV per cell
total magnetization = 0.00 μB/f.u.
energy relative to the elements = -20 kJ per mole of atoms
offset from the most stable computed form = 40 meV/atom
SG = C2/m, No. 12

Cell lengths 8.4644, 3.9073, 8.4294 Å; angles 90.00, 94.46, 90.00 degrees
With the nearest neighbours (Å) after each atom.
Fractional positions:
Mg  0.2581  0.5000  0.3095  3 Be 2.57-2.67, 3 P 2.62-2.63
Mg  0.0000  0.0000  0.5000  4 P 2.64
Mg  0.5000  0.0000  0.5000  6 Be 2.49-2.69
Mg  0.0000  0.5000  0.0000  4 P 2.64
Mg  0.7419  0.5000  0.6905  3 Be 2.57-2.67, 3 P 2.62-2.63
Mg  0.7419  0.0000  0.1905  3 Be 2.57-2.67, 3 P 2.62-2.63
Mg  0.2581  0.0000  0.8095  3 Be 2.57-2.67, 3 P 2.62-2.63
Mg  0.5000  0.5000  0.0000  6 Be 2.49-2.69
P  0.8104  0.5000  0.3919  1 Be 2.21
P  0.1896  0.5000  0.6081  1 Be 2.21
P  0.8104  0.0000  0.8919  1 Be 2.21
P  0.1896  0.0000  0.1081  1 Be 2.21
Be  0.4398  0.5000  0.7064  1 P 2.21, 2 Be 2.30
Be  0.4398  0.0000  0.2064  1 P 2.21, 2 Be 2.30
Be  0.5602  0.5000  0.2936  1 P 2.21, 2 Be 2.30
Be  0.5602  0.0000  0.7936  1 P 2.21, 2 Be 2.30

=====

(9)
Computed, not measured: a geometry-optimized MgBeP2 structure at the PBE-GGA level of DFT.

density of states at the Fermi level = 1.11 states/eV per cell
total magnetization = 0.00 μB/f.u.
energy relative to the elements = -8 kJ per mole of atoms
offset from the most stable computed form = 118 meV/atom
SG = Pmm2, No. 25

Cell lengths 2.7459, 3.5979, 6.7172 Å; angles 90.00, 90.00, 90.00 degrees
With the nearest neighbours (Å) after each atom.
Fractional positions:
Mg  0.5000  0.5000  0.9550  5 P 2.52-2.59, 2 Mg 2.75
P  0.0000  0.0000  0.7667  1 Be 2.14
P  0.5000  0.5000  0.3302  4 Be 2.40, 1 Mg 2.52
Be  0.0000  0.0000  0.4481  1 P 2.14

=====

(10)
Computed, not measured: a geometry-optimized Mg2BeP structure at the PBE-GGA level of DFT.

density of states at the Fermi level = 2.13 states/eV per cell
total magnetization = 0.00 μB/f.u.
energy relative to the elements = 9 kJ per mole of atoms
offset from the most stable computed form = 344 meV/atom
SG = P4mm, No. 99

Cell lengths 3.2020, 3.2028, 6.6196 Å; angles 90.00, 90.00, 90.00 degrees
With the nearest neighbours (Å) after each atom.
Fractional positions:
Mg  0.0000  0.0000  0.9586  1 P 2.56
Mg  0.5000  0.5000  0.2957  1 Be 2.50
Be  0.5000  0.5000  0.6735  4 P 2.36, 1 Mg 2.50
P  0.0000  0.0000  0.5722  4 Be 2.36, 1 Mg 2.56

=====

(11)
Computed, not measured: a geometry-optimized MgBeP2 structure at the PBE-GGA level of DFT.

density of states at the Fermi level = 1.56 states/eV per cell
total magnetization = 0.00 μB/f.u.
energy relative to the elements = 7 kJ per mole of atoms
offset from the most stable computed form = 278 meV/atom
SG = Immm, No. 71

Cell lengths 4.6528, 4.6528, 4.6528 Å; angles 136.01, 112.85, 83.81 degrees
With the nearest neighbours (Å) after each atom.
Fractional positions:
P  0.9426  0.9426  0.0000  2 Be 2.19
P  0.5574  0.5574  0.0000  2 Be 2.19
Be  0.7500  0.2500  0.5000  4 P 2.19
Mg  0.2500  0.7500  0.5000  8 P 2.75-2.90

=====

(12)
Computed, not measured: a geometry-optimized Mg2BeP structure at the PBE-GGA level of DFT.

density of states at the Fermi level = 1.06 states/eV per cell
total magnetization = 0.00 μB/f.u.
energy relative to the elements = 10 kJ per mole of atoms
offset from the most stable computed form = 348 meV/atom
SG = Cmm2, No. 35

Cell lengths 3.1763, 3.1763, 7.3480 Å; angles 90.00, 90.00, 108.26 degrees
With the nearest neighbours (Å) after each atom.
Fractional positions:
Be  0.5000  0.5000  0.6920  2 P 2.08
P  0.0000  0.0000  0.5645  2 Be 2.08
Mg  0.5000  0.5000  0.2926  2 P 2.73, 1 Be 2.94
Mg  0.0000  0.0000  0.9509  2 Be 2.66, 1 P 2.84

=====

(13)
Computed, not measured: a geometry-optimized MgBeP2 structure at the PBE-GGA level of DFT.

density of states at the Fermi level = 0.71 states/eV per cell
total magnetization = 0.00 μB/f.u.
energy relative to the elements = -19 kJ per mole of atoms
offset from the most stable computed form = 0 meV/atom
SG = Amm2, No. 38

Cell lengths 3.7773, 2.7530, 6.5357 Å; angles 102.21, 90.00, 90.00 degrees
With the nearest neighbours (Å) after each atom.
Fractional positions:
P  0.0000  0.0649  0.7542  2 Be 2.23
P  0.5000  0.3433  0.3116  2 Be 2.17
Mg  0.5000  0.6649  0.9540  6 P 2.66-2.67, 2 Mg 2.75
Be  0.0000  0.4267  0.4802  4 P 2.17-2.23

=====

(14)
Computed, not measured: a geometry-optimized MgBeP3 structure at the PBE-GGA level of DFT.

density of states at the Fermi level = 4.38 states/eV per cell
total magnetization = 0.00 μB/f.u.
energy relative to the elements = 133 kJ per mole of atoms
offset from the most stable computed form = 929 meV/atom
SG = Pm-3m, No. 221

Cell lengths 4.7251, 4.7251, 4.7251 Å; angles 90.00, 90.00, 90.00 degrees
With the nearest neighbours (Å) after each atom.
Fractional positions:
Be  0.5000  0.5000  0.5000  12 P 3.34
P  0.5000  0.0000  0.0000  2 Mg 2.36
P  0.0000  0.0000  0.5000  2 Mg 2.36
P  0.0000  0.5000  0.0000  2 Mg 2.36
Mg  0.0000  0.0000  0.0000  6 P 2.36

=====

Calculated volume (Å³/cell)
65.0; 58.3; 81.5; 142.0; 68.8; 60.5; 60.0; 277.9; 66.4; 67.9; 62.1; 70.4; 66.4; 105.5